# CaMg14FeO16, optimized geometry, DFT PBEsol
# SG: P4/mmm
# DOS at the Fermi energy: 4.395 states/eV/cell
# uncorrected formation energy: -2.600 eV/atom
# volume: 311 Å³/cell
data_CaMg14FeO16
_cell_length_a 8.525
_cell_length_b 8.525
_cell_length_c 4.278
_cell_angle_alpha 90.00
_cell_angle_beta 90.00
_cell_angle_gamma 90.00
_space_group_name_H-M_alt 'P 1'
_space_group_IT_number 1
loop_
_space_group_symop_operation_xyz
'x,y,z'
loop_
_atom_site_label
_atom_site_type_symbol
_atom_site_fract_x
_atom_site_fract_y
_atom_site_fract_z
_atom_site_occupancy
Ca1 Ca 0.000 0.000 0.000 1
Mg1 Mg 0.000 0.256 0.500 1
Mg2 Mg 0.000 0.500 0.000 1
Mg3 Mg 0.000 0.744 0.500 1
Mg4 Mg 0.251 0.500 0.500 1
Mg5 Mg 0.253 0.253 0.000 1
Mg6 Mg 0.253 0.747 0.000 1
Mg7 Mg 0.256 0.000 0.500 1
Mg8 Mg 0.500 0.000 0.000 1
Mg9 Mg 0.500 0.251 0.500 1
Mg10 Mg 0.500 0.749 0.500 1
Mg11 Mg 0.744 0.000 0.500 1
Mg12 Mg 0.747 0.253 0.000 1
Mg13 Mg 0.747 0.747 0.000 1
Mg14 Mg 0.749 0.500 0.500 1
Fe1 Fe 0.500 0.500 0.000 1
O1 O 0.000 0.000 0.500 1
O2 O 0.000 0.263 0.000 1
O3 O 0.000 0.500 0.500 1
O4 O 0.000 0.737 0.000 1
O5 O 0.249 0.500 0.000 1
O6 O 0.250 0.250 0.500 1
O7 O 0.250 0.750 0.500 1
O8 O 0.263 0.000 0.000 1
O9 O 0.500 0.000 0.500 1
O10 O 0.500 0.249 0.000 1
O11 O 0.500 0.500 0.500 1
O12 O 0.500 0.751 0.000 1
O13 O 0.737 0.000 0.000 1
O14 O 0.750 0.250 0.500 1
O15 O 0.750 0.750 0.500 1
O16 O 0.751 0.500 0.000 1

=====

# SrAlN2, optimized geometry, DFT PBEsol
# SG: R-3m
# DOS at the Fermi energy: 3.041 states/eV/cell
# uncorrected formation energy: -0.061 eV/atom
# volume: 78 Å³/cell
data_SrAlN2
_cell_length_a 6.547
_cell_length_b 6.547
_cell_length_c 6.547
_cell_angle_alpha 33.98
_cell_angle_beta 33.98
_cell_angle_gamma 33.98
_space_group_name_H-M_alt 'P 1'
_space_group_IT_number 1
loop_
_space_group_symop_operation_xyz
'x,y,z'
loop_
_atom_site_label
_atom_site_type_symbol
_atom_site_fract_x
_atom_site_fract_y
_atom_site_fract_z
_atom_site_occupancy
Sr1 Sr 0.000 0.000 0.000 1
Al1 Al 0.500 0.500 0.500 1
N1 N 0.405 0.405 0.405 1
N2 N 0.595 0.595 0.595 1

=====

# MnNiHg, optimized geometry, DFT PBEsol
# SG: F-43m
# energy of formation from the pure elements: 1.82 eV/f.u.
# DOS at the Fermi energy: 2.349 states/eV/cell
# volume: 51 Å³/cell
data_MnNiHg
_cell_length_a 4.164
_cell_length_b 4.164
_cell_length_c 4.164
_cell_angle_alpha 60.00
_cell_angle_beta 60.00
_cell_angle_gamma 60.00
_space_group_name_H-M_alt 'P 1'
_space_group_IT_number 1
loop_
_space_group_symop_operation_xyz
'x,y,z'
loop_
_atom_site_label
_atom_site_type_symbol
_atom_site_fract_x
_atom_site_fract_y
_atom_site_fract_z
_atom_site_occupancy
Mn1 Mn 0.000 0.000 0.000 1
Ni1 Ni 0.750 0.750 0.750 1
Hg1 Hg 0.250 0.250 0.250 1

=====

# SrLi2In2, optimized geometry, DFT PBEsol
# SG: I4/mmm
# energy of formation from the pure elements: -1.39 eV/f.u.
# DOS at the Fermi energy: 2.758 states/eV/cell
# volume: 129 Å³/cell
data_SrLi2In2
_cell_length_a 7.585
_cell_length_b 7.585
_cell_length_c 7.585
_cell_angle_alpha 147.05
_cell_angle_beta 147.05
_cell_angle_gamma 47.29
_space_group_name_H-M_alt 'P 1'
_space_group_IT_number 1
loop_
_space_group_symop_operation_xyz
'x,y,z'
loop_
_atom_site_label
_atom_site_type_symbol
_atom_site_fract_x
_atom_site_fract_y
_atom_site_fract_z
_atom_site_occupancy
Sr1 Sr 0.000 0.000 0.000 1
Li1 Li 0.250 0.750 0.500 1
Li2 Li 0.750 0.250 0.500 1
In1 In 0.390 0.390 0.000 1
In2 In 0.610 0.610 0.000 1

=====

# Na2BiO3, optimized geometry, DFT PBEsol
# SG: Fddd
# DOS at the Fermi energy: 10.635 states/eV/cell
# uncorrected formation energy: -1.361 eV/atom
# volume: 334 Å³/cell
data_Na2BiO3
_cell_length_a 11.286
_cell_length_b 10.741
_cell_length_c 5.907
_cell_angle_alpha 79.61
_cell_angle_beta 69.40
_cell_angle_gamma 30.99
_space_group_name_H-M_alt 'P 1'
_space_group_IT_number 1
loop_
_space_group_symop_operation_xyz
'x,y,z'
loop_
_atom_site_label
_atom_site_type_symbol
_atom_site_fract_x
_atom_site_fract_y
_atom_site_fract_z
_atom_site_occupancy
Na1 Na 0.046 0.046 0.204 1
Na2 Na 0.122 0.122 0.628 1
Na3 Na 0.204 0.204 0.046 1
Na4 Na 0.372 0.372 0.878 1
Na5 Na 0.628 0.628 0.122 1
Na6 Na 0.796 0.796 0.954 1
Na7 Na 0.878 0.878 0.372 1
Na8 Na 0.954 0.954 0.796 1
Bi1 Bi 0.291 0.291 0.459 1
Bi2 Bi 0.459 0.459 0.291 1
Bi3 Bi 0.541 0.541 0.709 1
Bi4 Bi 0.709 0.709 0.541 1
O1 O 0.042 0.527 0.243 1
O2 O 0.153 0.597 0.597 1
O3 O 0.243 0.687 0.042 1
O4 O 0.313 0.757 0.473 1
O5 O 0.403 0.847 0.847 1
O6 O 0.473 0.958 0.313 1
O7 O 0.527 0.042 0.687 1
O8 O 0.597 0.153 0.153 1
O9 O 0.687 0.243 0.527 1
O10 O 0.757 0.313 0.958 1
O11 O 0.847 0.403 0.403 1
O12 O 0.958 0.473 0.757 1

=====

# Ag2TeCl, optimized geometry, DFT PBEsol
# SG: P4mm
# DOS at the Fermi energy: 1.146 states/eV/cell
# uncorrected formation energy: -0.136 eV/atom
# volume: 90 Å³/cell
data_Ag2TeCl
_cell_length_a 3.598
_cell_length_b 3.598
_cell_length_c 6.923
_cell_angle_alpha 90.00
_cell_angle_beta 90.00
_cell_angle_gamma 90.00
_space_group_name_H-M_alt 'P 1'
_space_group_IT_number 1
loop_
_space_group_symop_operation_xyz
'x,y,z'
loop_
_atom_site_label
_atom_site_type_symbol
_atom_site_fract_x
_atom_site_fract_y
_atom_site_fract_z
_atom_site_occupancy
Ag1 Ag 0.000 0.000 0.000 1
Ag2 Ag 0.500 0.500 0.211 1
Te1 Te 0.000 0.000 0.406 1
Cl1 Cl 0.500 0.500 0.824 1

=====

# LaZrTc2, optimized geometry, DFT PBEsol
# SG: Pmmm
# energy of formation from the pure elements: 1.34 eV/f.u.
# DOS at the Fermi energy: 3.474 states/eV/cell
# volume: 74 Å³/cell
data_LaZrTc2
_cell_length_a 3.297
_cell_length_b 4.367
_cell_length_c 5.138
_cell_angle_alpha 90.00
_cell_angle_beta 90.00
_cell_angle_gamma 90.00
_space_group_name_H-M_alt 'P 1'
_space_group_IT_number 1
loop_
_space_group_symop_operation_xyz
'x,y,z'
loop_
_atom_site_label
_atom_site_type_symbol
_atom_site_fract_x
_atom_site_fract_y
_atom_site_fract_z
_atom_site_occupancy
La1 La 0.000 0.000 0.000 1
Zr1 Zr 0.500 0.000 0.500 1
Tc1 Tc 0.000 0.500 0.500 1
Tc2 Tc 0.500 0.500 0.000 1

=====

# CaCdNi, optimized geometry, DFT PBEsol
# SG: F-43m
# energy of formation from the pure elements: 0.88 eV/f.u.
# DOS at the Fermi energy: 1.888 states/eV/cell
# volume: 69 Å³/cell
data_CaCdNi
_cell_length_a 4.608
_cell_length_b 4.608
_cell_length_c 4.608
_cell_angle_alpha 60.00
_cell_angle_beta 60.00
_cell_angle_gamma 60.00
_space_group_name_H-M_alt 'P 1'
_space_group_IT_number 1
loop_
_space_group_symop_operation_xyz
'x,y,z'
loop_
_atom_site_label
_atom_site_type_symbol
_atom_site_fract_x
_atom_site_fract_y
_atom_site_fract_z
_atom_site_occupancy
Ca1 Ca 0.000 0.000 0.000 1
Cd1 Cd 0.750 0.750 0.750 1
Ni1 Ni 0.500 0.500 0.500 1

=====

# Sr2MnInI, optimized geometry, DFT PBEsol
# SG: P4/mmm
# DOS at the Fermi energy: 2.337 states/eV/cell
# uncorrected formation energy: -0.018 eV/atom
# volume: 199 Å³/cell
data_Sr2MnInI
_cell_length_a 6.289
_cell_length_b 6.289
_cell_length_c 5.040
_cell_angle_alpha 90.00
_cell_angle_beta 90.00
_cell_angle_gamma 90.00
_space_group_name_H-M_alt 'P 1'
_space_group_IT_number 1
loop_
_space_group_symop_operation_xyz
'x,y,z'
loop_
_atom_site_label
_atom_site_type_symbol
_atom_site_fract_x
_atom_site_fract_y
_atom_site_fract_z
_atom_site_occupancy
Sr1 Sr 0.000 0.500 0.000 1
Sr2 Sr 0.500 0.000 0.000 1
Mn1 Mn 0.000 0.000 0.500 1
In1 In 0.000 0.000 0.000 1
I1 I 0.500 0.500 0.500 1

=====

# TaMnAu3, optimized geometry, DFT PBEsol
# SG: Pm-3m
# energy of formation from the pure elements: 6.44 eV/f.u.
# DOS at the Fermi energy: 3.096 states/eV/cell
# volume: 125 Å³/cell
data_TaMnAu3
_cell_length_a 5.004
_cell_length_b 5.004
_cell_length_c 5.004
_cell_angle_alpha 90.00
_cell_angle_beta 90.00
_cell_angle_gamma 90.00
_space_group_name_H-M_alt 'P 1'
_space_group_IT_number 1
loop_
_space_group_symop_operation_xyz
'x,y,z'
loop_
_atom_site_label
_atom_site_type_symbol
_atom_site_fract_x
_atom_site_fract_y
_atom_site_fract_z
_atom_site_occupancy
Ta1 Ta 0.000 0.000 0.000 1
Mn1 Mn 0.500 0.500 0.500 1
Au1 Au 0.000 0.000 0.500 1
Au2 Au 0.000 0.500 0.000 1
Au3 Au 0.500 0.000 0.000 1

=====

# Pa3Si, optimized geometry, DFT PBEsol
# SG: Pm-3m
# DOS at the Fermi energy: 8.537 states/eV/cell
# uncorrected formation energy: -0.336 eV/atom
# volume: 85 Å³/cell
data_Pa3Si
_cell_length_a 4.390
_cell_length_b 4.390
_cell_length_c 4.390
_cell_angle_alpha 90.00
_cell_angle_beta 90.00
_cell_angle_gamma 90.00
_space_group_name_H-M_alt 'P 1'
_space_group_IT_number 1
loop_
_space_group_symop_operation_xyz
'x,y,z'
loop_
_atom_site_label
_atom_site_type_symbol
_atom_site_fract_x
_atom_site_fract_y
_atom_site_fract_z
_atom_site_occupancy
Pa1 Pa 0.000 0.000 0.500 1
Pa2 Pa 0.000 0.500 0.000 1
Pa3 Pa 0.500 0.000 0.000 1
Si1 Si 0.500 0.500 0.500 1

=====

# Zr2BeOs, optimized geometry, DFT PBEsol
# SG: P4/mmm
# energy of formation from the pure elements: -1.23 eV/f.u.
# DOS at the Fermi energy: 1.151 states/eV/cell
# volume: 66 Å³/cell
data_Zr2BeOs
_cell_length_a 4.541
_cell_length_b 4.541
_cell_length_c 3.221
_cell_angle_alpha 90.00
_cell_angle_beta 90.00
_cell_angle_gamma 90.00
_space_group_name_H-M_alt 'P 1'
_space_group_IT_number 1
loop_
_space_group_symop_operation_xyz
'x,y,z'
loop_
_atom_site_label
_atom_site_type_symbol
_atom_site_fract_x
_atom_site_fract_y
_atom_site_fract_z
_atom_site_occupancy
Zr1 Zr 0.000 0.500 0.000 1
Zr2 Zr 0.500 0.000 0.000 1
Be1 Be 0.000 0.000 0.500 1
Os1 Os 0.500 0.500 0.500 1

=====

Look up the volume of the second one.
78 Å³/cell

=====

Copy entry 1 word for word.
# CaMg14FeO16, optimized geometry, DFT PBEsol
# SG: P4/mmm
# DOS at the Fermi energy: 4.395 states/eV/cell
# uncorrected formation energy: -2.600 eV/atom
# volume: 311 Å³/cell
data_CaMg14FeO16
_cell_length_a 8.525
_cell_length_b 8.525
_cell_length_c 4.278
_cell_angle_alpha 90.00
_cell_angle_beta 90.00
_cell_angle_gamma 90.00
_space_group_name_H-M_alt 'P 1'
_space_group_IT_number 1
loop_
_space_group_symop_operation_xyz
'x,y,z'
loop_
_atom_site_label
_atom_site_type_symbol
_atom_site_fract_x
_atom_site_fract_y
_atom_site_fract_z
_atom_site_occupancy
Ca1 Ca 0.000 0.000 0.000 1
Mg1 Mg 0.000 0.256 0.500 1
Mg2 Mg 0.000 0.500 0.000 1
Mg3 Mg 0.000 0.744 0.500 1
Mg4 Mg 0.251 0.500 0.500 1
Mg5 Mg 0.253 0.253 0.000 1
Mg6 Mg 0.253 0.747 0.000 1
Mg7 Mg 0.256 0.000 0.500 1
Mg8 Mg 0.500 0.000 0.000 1
Mg9 Mg 0.500 0.251 0.500 1
Mg10 Mg 0.500 0.749 0.500 1
Mg11 Mg 0.744 0.000 0.500 1
Mg12 Mg 0.747 0.253 0.000 1
Mg13 Mg 0.747 0.747 0.000 1
Mg14 Mg 0.749 0.500 0.500 1
Fe1 Fe 0.500 0.500 0.000 1
O1 O 0.000 0.000 0.500 1
O2 O 0.000 0.263 0.000 1
O3 O 0.000 0.500 0.500 1
O4 O 0.000 0.737 0.000 1
O5 O 0.249 0.500 0.000 1
O6 O 0.250 0.250 0.500 1
O7 O 0.250 0.750 0.500 1
O8 O 0.263 0.000 0.000 1
O9 O 0.500 0.000 0.500 1
O10 O 0.500 0.249 0.000 1
O11 O 0.500 0.500 0.500 1
O12 O 0.500 0.751 0.000 1
O13 O 0.737 0.000 0.000 1
O14 O 0.750 0.250 0.500 1
O15 O 0.750 0.750 0.500 1
O16 O 0.751 0.500 0.000 1

=====

volume of number 1 (CaMg14FeO16)?
311 Å³/cell

=====

Which of these has the highest DOS at the Fermi energy?
Na2BiO3